# AcHo7Tm12 (PBE, relaxed)
data_AcHo7Tm12
_space_group_name_H-M_alt 'I m -3 m'
_space_group_IT_number 229
_space_group_name_Hall '-I 4 2 3'
_cell_length_a 11.226
_cell_length_b 11.226
_cell_length_c 11.226
_cell_angle_alpha 90.00
_cell_angle_beta 90.00
_cell_angle_gamma 90.00
loop_
_atom_site_label
_atom_site_type_symbol
_atom_site_fract_x
_atom_site_fract_y
_atom_site_fract_z
_atom_site_occupancy
Ac1 Ac 0.000 0.000 0.000 1
Ho1 Ho 0.000 0.000 0.500 1
Ho2 Ho 0.250 0.250 0.250 1
Tm1 Tm 0.000 0.265 0.265 1
# - Distance to the lowest polymorph of the same formula: 0.467 eV/atom
# - E_tot: -3.783 eV per atom
# - Density of states at the Fermi level: 52.58 states/eV/cell